This record from the Alexandria database describes an optimized crystal structure of TlSnAu. The functional is GGA-PBE.

abc: 6.828 3.695 6.830
angles: 74.01 91.63 105.99
Atoms (fractional coordinates):
1 Sn 0.589 0.874 0.699
2 Sn 0.902 0.875 0.012
3 Au 0.295 0.151 0.840
4 Au 0.761 0.152 0.306
5 Tl 0.377 0.506 0.224
6 Tl 0.045 0.670 0.556

Calculated values
* space group: Cm, No. 8
* crystal system: monoclinic


This record from the Alexandria database describes an optimized crystal structure of CrIrPt2. The functional is GGA-PBE.

abc: 4.407 4.407 4.407
angles: 60.00 60.00 60.00
Each line ends with the local moment (μB).
Atoms (fractional coordinates):
1 Pt 0.000 0.000 0.000  -0.13
2 Pt 0.250 0.250 0.250  -0.03
3 Cr 0.500 0.500 0.500  2.60
4 Ir 0.750 0.750 0.750  -0.40

Calculated values
* space group: F-43m, No. 216
* crystal system: cubic


This record from the Alexandria database describes an optimized crystal structure of Tb5Sm6Tl. The functional is GGA-PBE.

abc: 5.008 9.457 9.457
angles: 107.21 105.33 105.33
Atoms (fractional coordinates):
1 Tb 0.500 0.831 0.169
2 Tb 0.500 0.169 0.831
3 Tb 0.500 0.500 0.500
4 Tb 0.000 0.336 0.664
5 Tb 0.000 0.664 0.336
6 Tl 0.000 0.000 0.000
7 Sm 0.754 0.920 0.589
8 Sm 0.754 0.589 0.920
9 Sm 0.246 0.080 0.411
10 Sm 0.246 0.411 0.080
11 Sm 0.255 0.755 0.755
12 Sm 0.745 0.245 0.245

Calculated values
* space group: Immm, No. 71
* crystal system: orthorhombic


This record from the Alexandria database describes an optimized crystal structure of Pm3PuSe6. The functional is GGA-PBE.

abc: 4.211 11.806 12.054
angles: 108.67 90.00 90.00
Each line ends with the local moment (μB).
Atoms (fractional coordinates):
1 Se 0.750 0.481 0.616  -0.01
2 Se 0.250 0.249 0.720  -0.04
3 Se 0.250 0.519 0.384  -0.01
4 Se 0.750 0.811 0.750  -0.04
5 Se 0.750 0.751 0.280  -0.04
6 Se 0.250 0.888 0.539  -0.10
7 Se 0.750 0.400 0.067  0.00
8 Se 0.250 0.083 0.897  -0.04
9 Se 0.250 0.600 0.933  0.00
10 Se 0.750 0.112 0.461  -0.10
11 Se 0.250 0.189 0.250  -0.04
12 Se 0.750 0.917 0.103  -0.04
13 Pm 0.250 0.573 0.168  0.00
14 Pm 0.750 0.158 0.080  0.00
15 Pm 0.250 0.842 0.920  0.00
16 Pm 0.750 0.427 0.832  0.00
17 Pm 0.750 0.681 0.503  0.01
18 Pm 0.250 0.319 0.497  0.01
19 Pu 0.750 0.043 0.686  5.13
20 Pu 0.250 0.957 0.314  5.13

Calculated values
* ΔE to the lowest computed polymorph: 0 meV per atom
* space group: P2_1/m, No. 11
* crystal system: monoclinic
* uncorrected formation energy: -1.746 eV per atom


This record from the Alexandria database describes an optimized crystal structure of La2BeTeOs. The functional is GGA-PBE.

abc: 5.581 4.124 5.581
angles: 90.00 90.00 90.00
Atoms (fractional coordinates):
1 Te 0.500 0.500 0.500
2 Os 0.000 0.500 0.000
3 La 0.500 0.000 0.000
4 La 0.000 0.000 0.500
5 Be 0.000 0.000 0.000

Calculated values
* space group: P4/mmm, No. 123
* crystal system: tetragonal
* uncorrected formation energy: -0.209 eV per atom


This record from the Alexandria database describes an optimized crystal structure of TbHoEr2S4. The functional is GGA-PBE.

abc: 3.853 6.745 6.751
angles: 70.91 90.00 90.00
Atoms (fractional coordinates):
1 S 0.000 0.755 0.747
2 S 0.000 0.245 0.253
3 S 0.500 0.753 0.251
4 S 0.500 0.247 0.749
5 Tb 0.500 0.500 0.000
6 Er 0.500 0.000 0.500
7 Er 0.000 0.000 0.000
8 Ho 0.000 0.500 0.500

Calculated values
* space group: P2/m, No. 10
* crystal system: monoclinic
* uncorrected formation energy: -1.971 eV per atom


This record from the Alexandria database describes an optimized crystal structure of LaI. The functional is GGA-PBE.

abc: 10.107 10.107 10.107
angles: 90.00 90.00 90.00
Atoms (fractional coordinates):
1 La 0.871 0.871 0.871
2 La 0.371 0.371 0.371
3 La 0.129 0.129 0.871
4 La 0.629 0.629 0.371
5 La 0.871 0.129 0.129
6 La 0.129 0.871 0.129
7 La 0.371 0.629 0.629
8 La 0.629 0.371 0.629
9 I 0.179 0.821 0.821
10 I 0.321 0.321 0.679
11 I 0.679 0.679 0.679
12 I 0.321 0.679 0.321
13 I 0.821 0.179 0.821
14 I 0.179 0.179 0.179
15 I 0.821 0.821 0.179
16 I 0.679 0.321 0.321

Calculated values
* space group: I-43m, No. 217
* crystal system: cubic
* uncorrected formation energy: -0.516 eV per atom


This record from the Alexandria database describes an optimized crystal structure of IrBr2O. The functional is GGA-PBE.

abc: 8.861 8.861 8.861
angles: 20.10 20.10 20.10
Each line ends with the local moment (μB).
Atoms (fractional coordinates):
1 Br 0.091 0.091 0.091  0.14
2 Br 0.909 0.909 0.909  0.14
3 O 0.500 0.500 0.500  1.15
4 Ir 0.000 0.000 0.000  -0.02

Calculated values
* space group: R-3m, No. 166
* crystal system: trigonal
* uncorrected formation energy: 0.976 eV per atom


This record from the Alexandria database describes an optimized crystal structure of KSnPb4. The functional is GGA-PBE.

abc: 6.619 6.619 6.619
angles: 60.00 60.00 60.00
Atoms (fractional coordinates):
1 Pb 0.625 0.625 0.124
2 Pb 0.124 0.625 0.625
3 Pb 0.625 0.625 0.625
4 Pb 0.625 0.124 0.625
5 K 0.250 0.250 0.250
6 Sn 0.000 0.000 0.000

Calculated values
* ΔE to the lowest computed polymorph: 51 meV per atom
* space group: F-43m, No. 216
* crystal system: cubic


This record from the Alexandria database describes an optimized crystal structure of YPd2Pb2. The functional is GGA-PBE.

abc: 4.702 4.702 6.425
angles: 68.54 68.54 90.00
Atoms (fractional coordinates):
1 Pd 0.250 0.750 0.500
2 Pd 0.750 0.250 0.500
3 Pb 0.631 0.631 0.739
4 Pb 0.369 0.369 0.261
5 Y 0.000 0.000 0.000

Calculated values
* ΔE to the lowest computed polymorph: 235 meV per atom
* space group: I4/mmm, No. 139
* crystal system: tetragonal


This record from the Alexandria database describes an optimized crystal structure of AcPbAu5. The functional is GGA-PBE.

abc: 5.767 9.567 11.623
angles: 90.00 90.00 90.00
Atoms (fractional coordinates):
1 Au 0.504 0.931 0.306
2 Au 0.750 0.316 0.750
3 Au 0.250 0.942 0.089
4 Au 0.250 0.184 0.250
5 Au 0.496 0.069 0.694
6 Au 0.250 0.442 0.411
7 Au 0.250 0.085 0.483
8 Au 0.250 0.585 0.017
9 Au 0.750 0.415 0.983
10 Au 0.750 0.058 0.911
11 Au 0.996 0.431 0.194
12 Au 0.004 0.069 0.694
13 Au 0.004 0.569 0.806
14 Au 0.504 0.431 0.194
15 Au 0.750 0.915 0.517
16 Au 0.496 0.569 0.806
17 Au 0.750 0.558 0.589
18 Au 0.250 0.684 0.250
19 Au 0.996 0.931 0.306
20 Au 0.750 0.816 0.750
21 Ac 0.750 0.250 0.439
22 Ac 0.750 0.750 0.061
23 Ac 0.250 0.750 0.561
24 Ac 0.250 0.250 0.939
25 Pb 0.250 0.857 0.859
26 Pb 0.250 0.357 0.641
27 Pb 0.750 0.643 0.359
28 Pb 0.750 0.143 0.141

Calculated values
* space group: Pnma, No. 62
* crystal system: orthorhombic


This record from the Alexandria database describes an optimized crystal structure of La2Mg2Cd. The functional is GGA-PBE.

abc: 8.938 8.938 4.039
angles: 90.00 90.00 90.00
Atoms (fractional coordinates):
1 Mg 0.338 0.162 0.500
2 Mg 0.662 0.838 0.500
3 Mg 0.162 0.662 0.500
4 Mg 0.838 0.338 0.500
5 La 0.364 0.864 0.000
6 La 0.864 0.636 0.000
7 La 0.136 0.364 0.000
8 La 0.636 0.136 0.000
9 Cd 0.500 0.500 0.000
10 Cd 0.000 0.000 0.000

Calculated values
* ΔE to the lowest computed polymorph: 302 meV per atom
* space group: P4/mbm, No. 127
* crystal system: tetragonal


This record from the Alexandria database describes an optimized crystal structure of NaS2I2. The functional is GGA-PBE.

abc: 8.361 8.361 4.782
angles: 90.00 90.00 90.00
Atoms (fractional coordinates):
1 S 0.738 0.238 0.000
2 S 0.238 0.262 0.000
3 S 0.762 0.738 0.000
4 S 0.262 0.762 0.000
5 I 0.178 0.678 0.500
6 I 0.322 0.178 0.500
7 I 0.822 0.322 0.500
8 I 0.678 0.822 0.500
9 Na 0.500 0.500 0.000
10 Na 0.000 0.000 0.000

Calculated values
* space group: P4/mbm, No. 127
* crystal system: tetragonal
* uncorrected formation energy: -0.123 eV per atom


This record from the Alexandria database describes an optimized crystal structure of CoAu5. The functional is GGA-PBE.

abc: 5.397 5.397 4.768
angles: 90.00 90.00 120.00
Each line ends with the local moment (μB).
Atoms (fractional coordinates):
1 Co 0.000 0.000 0.000  2.15
2 Au 0.333 0.667 0.000  0.00
3 Au 0.500 0.500 0.500  0.00
4 Au 0.000 0.500 0.500  0.00
5 Au 0.667 0.333 0.000  0.00
6 Au 0.500 0.000 0.500  0.00

Calculated values
* space group: P6/mmm, No. 191
* crystal system: hexagonal


This record from the Alexandria database describes an optimized crystal structure of Nd2ZnPb. The functional is GGA-PBE.

abc: 3.598 3.598 11.355
angles: 80.88 80.88 60.00
Atoms (fractional coordinates):
1 Zn 0.500 0.500 0.500
2 Nd 0.902 0.902 0.295
3 Nd 0.098 0.098 0.705
4 Pb 0.000 0.000 0.000

Calculated values
* space group: R-3m, No. 166
* crystal system: trigonal


This record from the Alexandria database describes an optimized crystal structure of BaSr2Cr. The functional is GGA-PBE.

abc: 4.143 4.143 10.539
angles: 90.00 90.00 89.87
Each line ends with the local moment (μB).
Atoms (fractional coordinates):
1 Cr 0.500 0.500 0.750  4.01
2 Ba 0.500 0.500 0.250  -0.04
3 Sr 0.000 0.000 0.565  0.02
4 Sr 0.000 0.000 0.935  0.02

Calculated values
* ΔE to the lowest computed polymorph: 0 meV per atom
* space group: Cmmm, No. 65
* crystal system: orthorhombic


This record from the Alexandria database describes an optimized crystal structure of Cr2SiAu. The functional is GGA-PBE.

abc: 4.613 4.613 4.464
angles: 75.22 75.22 39.10
Each line ends with the local moment (μB).
Atoms (fractional coordinates):
1 Cr 0.251 0.251 0.214  2.67
2 Cr 0.988 0.988 0.061  -2.19
3 Si 0.505 0.505 0.511  0.04
4 Au 0.756 0.756 0.715  0.04

Calculated values
* space group: Cm, No. 8
* crystal system: monoclinic
* uncorrected formation energy: 0.119 eV per atom


This record from the Alexandria database describes an optimized crystal structure of Na2Ag2Cl5. The functional is GGA-PBE.

abc: 7.211 7.363 10.290
angles: 110.96 110.51 90.00
Atoms (fractional coordinates):
1 Ag 0.500 0.449 0.000
2 Ag 0.176 0.340 0.500
3 Ag 0.000 0.949 0.000
4 Ag 0.824 0.840 0.500
5 Cl 0.159 0.688 0.500
6 Cl 0.841 0.188 0.500
7 Cl 0.767 0.214 0.047
8 Cl 0.220 0.666 0.953
9 Cl 0.547 0.574 0.282
10 Cl 0.766 0.792 0.718
11 Cl 0.234 0.074 0.282
12 Cl 0.780 0.714 0.047
13 Cl 0.233 0.166 0.953
14 Cl 0.453 0.292 0.718
15 Na 0.567 0.172 0.231
16 Na 0.433 0.941 0.769
17 Na 0.164 0.672 0.231
18 Na 0.836 0.441 0.769

Calculated values
* space group: Ima2, No. 46
* crystal system: orthorhombic
* uncorrected formation energy: -0.995 eV per atom


This record from the Alexandria database describes an optimized crystal structure of AcBiAs. The functional is GGA-PBE.

abc: 5.405 5.405 5.405
angles: 60.00 60.00 60.00
Atoms (fractional coordinates):
1 As 0.500 0.500 0.500
2 Bi 0.000 0.000 0.000
3 Ac 0.250 0.250 0.250

Calculated values
* ΔE to the lowest computed polymorph: 441 meV per atom
* space group: F-43m, No. 216
* crystal system: cubic


This record from the Alexandria database describes an optimized crystal structure of ScTiAlHg. The functional is GGA-PBE.

abc: 4.768 4.768 4.768
angles: 60.00 60.00 60.00
Atoms (fractional coordinates):
1 Hg 0.000 0.000 0.000
2 Al 0.500 0.500 0.500
3 Sc 0.250 0.250 0.250
4 Ti 0.750 0.750 0.750

Calculated values
* space group: F-43m, No. 216
* crystal system: cubic


Number 1: E_tot -3.306 eV/atom. Number 2: E_tot -7.489 eV/atom. Number 3: E_tot -4.520 eV/atom. Number 4: E_tot -6.695 eV/atom. Number 5: E_tot -5.799 eV/atom. Number 6: E_tot -6.326 eV/atom. Number 7: E_tot -3.755 eV/atom. Number 8: E_tot -3.315 eV/atom. Number 9: E_tot -3.293 eV/atom. Number 10: E_tot -5.161 eV/atom. Number 11: E_tot -3.877 eV/atom. Number 12: E_tot -2.656 eV/atom. Number 13: E_tot -2.658 eV/atom. Number 14: E_tot -3.445 eV/atom. Number 15: E_tot -3.648 eV/atom. Number 16: E_tot -3.320 eV/atom. Number 17: E_tot -6.868 eV/atom. Number 18: E_tot -2.948 eV/atom. Number 19: E_tot -4.487 eV/atom. Number 20: E_tot -4.777 eV/atom.